No. 1
Density functional theory data (PBE-GGA) for a relaxed structure of TcAgSe2.

The space group is P1 (No. 1) and the conventional cell measures 3.1804, 7.3893 and 8.1241 Å, with angles of 67.95, 78.79 and 77.65 degrees. The asymmetric unit holds Tc at (0.0000, 0.0000, 0.0000), Tc at (0.4976, 0.2863, 0.7186), Ag at (0.3064, 0.0481, 0.3353), Ag at (0.8718, 0.6859, 0.5660), Se at (0.1035, 0.3344, 0.4573), Se at (0.5097, 0.7632, 0.2176), Se at (0.6365, 0.9337, 0.7915) and Se at (0.8548, 0.3626, 0.9300).

The formation energy (no corrections) comes out at -117 meV/atom.

---

No. 2
Density functional theory data (PBE-GGA) for a relaxed structure of TcAgSe2.

The space group is P1 (No. 1) and the conventional cell measures 4.3523, 6.5315 and 7.2772 Å, with angles of 104.50, 91.76 and 93.03 degrees. The asymmetric unit holds Tc at (0.0000, 0.0000, 0.0000), Tc at (0.4043, 0.8898, 0.1376), Ag at (0.3496, 0.4297, 0.0865), Ag at (0.6895, 0.9360, 0.5786), Se at (0.1965, 0.1580, 0.7565), Se at (0.1965, 0.7311, 0.3781), Se at (0.6712, 0.6824, 0.8735) and Se at (0.7382, 0.2069, 0.2667).

The formation energy (no corrections) comes out at -133 meV/atom.

---

No. 3
Density functional theory data (PBE-GGA) for a relaxed structure of TcAgSe2.

The space group is Cm (No. 8) and the conventional cell measures 13.6862, 3.3856 and 7.8270 Å, with angles of 90.00, 106.50 and 90.00 degrees. The asymmetric unit holds Tc at (0.0000, 0.0000, 0.0000), Tc at (0.1755, 0.5000, 0.1348), Ag at (0.2580, 0.0000, 0.9020), Ag at (0.3301, 0.0000, 0.4398), Se at (0.0646, 0.5000, 0.8324), Se at (0.1135, 0.0000, 0.3100), Se at (0.3431, 0.5000, 0.7194) and Se at (0.3677, 0.5000, 0.1889).

The formation energy (no corrections) comes out at -86 meV/atom.

---

No. 4
Density functional theory data (PBE-GGA) for a relaxed structure of TcAgSe2.

The space group is Cmm2 (No. 35) and the conventional cell measures 3.1601, 4.8429 and 10.1578 Å, with angles of 90.00, 90.00 and 90.00 degrees. The asymmetric unit holds Tc at (0.0000, 0.0000, 0.0000), Ag at (0.0000, 0.5000, 0.7634), Se at (0.0000, 0.0000, 0.5238) and Se at (0.0000, 0.5000, 0.1839).

The formation energy (no corrections) comes out at 351 meV/atom.